Compound: Ce5As2N2
Source: Alexandria via LeMat-Bulk
Functional: GGA-PBE
Structure: relaxed

Cell: 10.2647 10.2647 10.2647 Å, 56.62 137.58 144.28°
With the nearest neighbours (Å) after each atom.
Sites, in units of the cell vectors:
Ce: 0.1866 0.3913 0.0768  2 N 2.32-2.59
Ce: 0.1866 0.6097 0.2952  2 N 2.32-2.59
Ce: 0.2493 0.0206 0.2699  2 N 2.46-2.47
Ce: 0.2493 0.4794 0.7287  2 N 2.46-2.47
Ce: 0.3145 0.1097 0.9232  2 N 2.32-2.59
Ce: 0.3145 0.8913 0.7048  2 N 2.32-2.59
Ce: 0.5867 0.4593 0.6274  2 N 2.34-2.36
Ce: 0.7507 0.5206 0.2713  2 N 2.46-2.47
Ce: 0.7507 0.9794 0.7301  2 N 2.46-2.47
Ce: 0.8319 0.9593 0.3726  2 N 2.34-2.36
As: 0.7023 0.1458 0.3480  8 Ce 2.93-3.22
As: 0.7023 0.8543 0.0565  8 Ce 2.93-3.22
As: 0.7978 0.3543 0.6520  8 Ce 2.93-3.22
As: 0.7978 0.6458 0.9435  8 Ce 2.93-3.22
N: 0.2520 0.2520 0.0000  6 Ce 2.46-2.59
N: 0.2520 0.7520 0.5000  6 Ce 2.46-2.59
N: 0.2562 0.0881 0.6681  4 Ce 2.32-2.36
N: 0.4199 0.5881 0.3319  4 Ce 2.32-2.36

Summary:
E   -65.924 eV per formula unit
Size of the total moment   5.03 μB per formula unit
Formation energy without anion corrections   -1.14 eV/atom